Version w
The following is a DFT calculation (PBE-GGA) of a relaxed Ta3Co2 crystal.

Crystal system: trigonal
Fermi-level density of states, states/eV/cell: 4.53
Total magnetic moment, μB/cell: 2.0

Lattice parameters (Å, degrees): 4.207 4.207 5.288 90.00 90.00 120.00
Last column: magnetic moment on the atom in μB.
Fractional positions:
Co 0.333 0.667 0.847  0.78
Co 0.667 0.333 0.153  0.78
Ta 0.667 0.333 0.649  0.17
Ta 0.000 0.000 0.000  0.01
Ta 0.333 0.667 0.351  0.17

***

Version x
The following is a DFT calculation (PBE-GGA) of a relaxed Ta3Co2 crystal.

Crystal system: orthorhombic
Fermi-level density of states, states/eV/cell: 11.50
Total magnetic moment, μB/cell: 0.0

Lattice parameters (Å, degrees): 7.946 6.811 5.424 80.13 57.62 42.26
Fractional positions:
Co 0.538 0.360 0.900
Co 0.350 0.048 0.712
Co 0.202 0.900 0.360
Co 0.890 0.712 0.048
Ta 0.094 0.906 0.906
Ta 0.876 0.837 0.496
Ta 0.754 0.459 0.374
Ta 0.413 0.374 0.459
Ta 0.344 0.156 0.156
Ta 0.791 0.496 0.837

***

Version y
The following is a DFT calculation (PBE-GGA) of a relaxed Ta3Co2 crystal.

Crystal system: trigonal
Fermi-level density of states, states/eV/cell: 3.62
Total magnetic moment, μB/cell: 0.0

Lattice parameters (Å, degrees): 9.901 9.901 9.901 17.78 17.78 17.78
Fractional positions:
Co 0.396 0.396 0.396
Co 0.604 0.604 0.604
Ta 0.206 0.206 0.206
Ta 0.794 0.794 0.794
Ta 0.000 0.000 0.000

***

Ranked by calculated energy, most stable first: version x, version w, version y.

***

Version w
The following is a DFT calculation (PBE-GGA) of a relaxed TaCoTc2 crystal.

Crystal system: monoclinic
Fermi-level density of states, states/eV/cell: 4.74
Total magnetic moment, μB/cell: 1.9

Lattice parameters (Å, degrees): 4.352 2.693 5.102 80.47 90.00 90.00
Last column: magnetic moment on the atom in μB.
Fractional positions:
Ta 0.500 0.750 0.750  -0.01
Co 0.500 0.250 0.250  1.54
Tc 0.000 0.516 0.489  0.21
Tc 0.000 0.984 0.011  0.21

***

Version x
The following is a DFT calculation (PBE-GGA) of a relaxed TaCoTc2 crystal.

Crystal system: tetragonal
Fermi-level density of states, states/eV/cell: 5.50
Total magnetic moment, μB/cell: 0.6

Lattice parameters (Å, degrees): 4.689 4.689 4.689 130.78 130.78 72.16
Last column: magnetic moment on the atom in μB.
Fractional positions:
Tc 0.000 0.000 0.000  0.07
Tc 0.250 0.750 0.500  -0.01
Co 0.500 0.500 0.000  0.54
Ta 0.750 0.250 0.500  -0.04

***

Version y
The following is a DFT calculation (PBE-GGA) of a relaxed TaCoTc2 crystal.

Crystal system: cubic
Fermi-level density of states, states/eV/cell: 4.94
Total magnetic moment, μB/cell: 2.7

Lattice parameters (Å, degrees): 4.366 4.366 4.366 60.00 60.00 60.00
Last column: magnetic moment on the atom in μB.
Fractional positions:
Tc 0.750 0.750 0.750  0.46
Tc 0.250 0.250 0.250  0.46
Ta 0.500 0.500 0.500  0.01
Co 0.000 0.000 0.000  1.73

***

Version z
The following is a DFT calculation (PBE-GGA) of a relaxed TaCoTc2 crystal.

Crystal system: tetragonal
Fermi-level density of states, states/eV/cell: 4.18
Total magnetic moment, μB/cell: 0.0

Lattice parameters (Å, degrees): 4.822 4.822 4.822 133.51 133.51 67.85
Fractional positions:
Ta 0.750 0.250 0.500
Tc 0.000 0.000 0.000
Tc 0.500 0.500 0.000
Co 0.250 0.750 0.500

***

Ranked by calculated energy, most stable first: version x, version z, version y, version w.

***

Version w
The following is a DFT calculation (PBE-GGA) of a relaxed TaCoTc2 crystal.

Crystal system: cubic
Fermi-level density of states, states/eV/cell: 4.87
Total magnetic moment, μB/cell: 1.5

Lattice parameters (Å, degrees): 4.359 4.359 4.359 60.00 60.00 60.00
Last column: magnetic moment on the atom in μB.
Fractional positions:
Co 0.500 0.500 0.500  1.24
Tc 0.000 0.000 0.000  0.07
Tc 0.250 0.250 0.250  0.34
Ta 0.750 0.750 0.750  -0.06

***

Version x
The following is a DFT calculation (PBE-GGA) of a relaxed TaCoTc2 crystal.

Crystal system: trigonal
Fermi-level density of states, states/eV/cell: 5.52
Total magnetic moment, μB/cell: 0.9

Lattice parameters (Å, degrees): 9.193 9.193 9.193 17.14 17.14 17.14
Last column: magnetic moment on the atom in μB.
Fractional positions:
Tc 0.508 0.508 0.508  0.02
Tc 0.992 0.992 0.992  0.02
Co 0.250 0.250 0.250  0.89
Ta 0.750 0.750 0.750  -0.01

***

Ranked by calculated energy, most stable first: version w, version x.

***

Version w
The following is a DFT calculation (PBE-GGA) of a relaxed TaCoTc2 crystal.

Crystal system: tetragonal
Fermi-level density of states, states/eV/cell: 5.61
Total magnetic moment, μB/cell: 1.9

Lattice parameters (Å, degrees): 4.272 4.272 3.202 90.00 90.00 90.00
Last column: magnetic moment on the atom in μB.
Fractional positions:
Tc 0.000 0.000 0.000  0.24
Tc 0.500 0.500 0.000  0.24
Ta 0.000 0.500 0.500  -0.03
Co 0.500 0.000 0.500  1.42

***

Version x
The following is a DFT calculation (PBE-GGA) of a relaxed TaCoTc2 crystal.

Crystal system: trigonal
Fermi-level density of states, states/eV/cell: 4.04
Total magnetic moment, μB/cell: 0.8

Lattice parameters (Å, degrees): 9.059 9.059 9.059 17.51 17.51 17.51
Last column: magnetic moment on the atom in μB.
Fractional positions:
Ta 0.754 0.754 0.754  -0.05
Tc 0.248 0.248 0.248  0.05
Tc 0.995 0.995 0.995  -0.04
Co 0.503 0.503 0.503  0.89

***

Version y
The following is a DFT calculation (PBE-GGA) of a relaxed TaCoTc2 crystal.

Crystal system: monoclinic
Fermi-level density of states, states/eV/cell: 4.95
Total magnetic moment, μB/cell: 1.5

Lattice parameters (Å, degrees): 4.992 5.130 2.707 79.07 81.24 116.51
Last column: magnetic moment on the atom in μB.
Fractional positions:
Tc 0.500 0.000 0.500  0.14
Tc 0.000 0.000 0.000  0.14
Co 0.000 0.500 0.500  1.29
Ta 0.500 0.500 0.000  -0.03

***

Ranked by calculated energy, most stable first: version w, version y, version x.